GGA-PBE CsZrGeMo2, relaxed; Fermi-level density of states = 1.051 states/eV/atom; calculated volume = 26.06 A^3/atom; ΔE_f = 2772 meV per atom; space-group type = No. 123
1.0
4.927 0.000 0.000
0.000 5.367 0.000
0.000 0.000 4.927
Cs Mo Ge Zr
1 2 1 1
Direct
0.000 0.000 0.000
0.000 0.000 0.500
0.500 0.000 0.000
0.000 0.500 0.000
0.500 0.500 0.500